## one
{
  "formula": "PuCdHgBi",
  "functional": "PBE",
  "state": "optimized geometry",
  "cell": [[4.3988, 0.0000, 0.0000], [0.0000, 4.6977, 0.0000], [0.0000, 0.0000, 5.1300]],
  "species": ["Pu", "Cd", "Hg", "Bi"],
  "frac_coords": [[0.0000, 0.0000, 0.0000], [0.0000, 0.5000, 0.5000], [0.5000, 0.0000, 0.5000], [0.5000, 0.5000, 0.0000]],
  "dos_at_fermi_per_ev_cell": 12.2,
  "vol_a3_per_fu": 106.0
}


## two
{
  "formula": "PuCdHgBi",
  "functional": "PBE",
  "state": "optimized geometry",
  "cell": [[0.0000, 3.7845, 3.7845], [3.7845, 0.0000, 3.7845], [3.7845, 3.7845, 0.0000]],
  "species": ["Pu", "Cd", "Hg", "Bi"],
  "frac_coords": [[0.0000, 0.0000, 0.0000], [0.5000, 0.5000, 0.5000], [0.2500, 0.2500, 0.2500], [0.7500, 0.7500, 0.7500]],
  "dos_at_fermi_per_ev_cell": 12.5,
  "vol_a3_per_fu": 108.4
}


Question: of the structures shown, which is the least stable? Reply: two.